DFT (GGA-PBE) results for a relaxed KLaYSbO6 crystal.

formation energy from raw total energies	-2.46	eV/atom
D(E_F)	0.00	states/eV per cell

Lattice parameters (Å, degrees): 5.9211 5.9211 5.9211 60.00 60.00 60.00
With the nearest neighbours (Å) after each atom.
Fractional coordinates of all 10 atoms:
K1 0.0000 0.0000 0.0000  12 O 2.96
La1 0.5000 0.5000 0.5000  12 O 2.96
Y1 0.2500 0.2500 0.2500  6 O 2.20
Sb1 0.7500 0.7500 0.7500  6 O 1.99
O1 0.5127 0.5127 0.9873  1 Sb 1.99, 1 Y 2.20
O2 0.5127 0.9873 0.5127  1 Sb 1.99, 1 Y 2.20
O3 0.5127 0.9873 0.9873  1 Sb 1.99, 1 Y 2.20
O4 0.9873 0.5127 0.5127  1 Sb 1.99, 1 Y 2.20
O5 0.9873 0.5127 0.9873  1 Sb 1.99, 1 Y 2.20
O6 0.9873 0.9873 0.5127  1 Sb 1.99, 1 Y 2.20

---

DFT (GGA-PBE) results for a relaxed K2LaScO4 crystal.

formation energy from raw total energies	-2.64	eV/atom
D(E_F)	0.00	states/eV per cell

Lattice parameters (Å, degrees): 6.0601 3.5000 6.5462 90.00 107.96 90.00
With the nearest neighbours (Å) after each atom.
Fractional coordinates of all 8 atoms:
K1 0.0000 0.0000 0.0000  6 O 2.87-2.95
K2 0.5000 0.5000 0.0000  6 O 2.74-2.76
La1 0.0000 0.5000 0.5000  6 O 2.41-2.42
Sc1 0.5000 0.0000 0.5000  6 O 2.17-2.27
O1 0.2589 0.0000 0.6848  1 Sc 2.17, 2 La 2.41
O2 0.2915 0.5000 0.3175  2 Sc 2.27, 1 La 2.42
O3 0.7085 0.5000 0.6825  2 Sc 2.27, 1 La 2.42
O4 0.7411 0.0000 0.3152  1 Sc 2.17, 2 La 2.41

---

DFT (GGA-PBE) results for a relaxed KLaSeO6 crystal.

formation energy from raw total energies	-1.28	eV/atom
D(E_F)	3.78	states/eV per cell

Lattice parameters (Å, degrees): 4.8235 5.7207 5.8222 60.61 89.87 89.67
With the nearest neighbours (Å) after each atom.
Fractional coordinates of all 9 atoms:
K1 0.0000 0.0000 0.0000  6 O 2.58-2.60
La1 0.4986 0.6715 0.6565  6 O 2.39-2.53
Se1 0.9978 0.3264 0.3480  6 O 1.80-1.84
O1 0.2037 0.5560 0.0590  1 Se 1.84
O2 0.2122 0.0488 0.3820  1 Se 1.82
O3 0.2200 0.3734 0.5688  1 Se 1.80
O4 0.7757 0.0589 0.5693  1 Se 1.80
O5 0.7830 0.5708 0.3799  1 Se 1.82
O6 0.7921 0.3836 0.0592  1 Se 1.84

---

DFT (GGA-PBE) results for a relaxed KLa2SeO5 crystal.

formation energy from raw total energies	-2.11	eV/atom
D(E_F)	6.78	states/eV per cell

Lattice parameters (Å, degrees): 7.8894 7.8894 7.8894 127.23 127.23 77.87
With the nearest neighbours (Å) after each atom.
Fractional coordinates of all 18 atoms:
K1 0.2500 0.2500 0.0000  10 O 3.07-3.16
K2 0.7500 0.7500 0.0000  10 O 3.07-3.16
La1 0.1786 0.6786 0.8572  8 O 2.38-2.66
La2 0.3214 0.1786 0.5000  8 O 2.38-2.66
La3 0.6786 0.8214 0.5000  8 O 2.38-2.66
La4 0.8214 0.3214 0.1427  8 O 2.38-2.66
Se1 0.2500 0.7500 0.5000  4 O 2.07
Se2 0.7500 0.2500 0.5000  4 O 2.07
O1 0.0000 0.0000 0.0000  4 La 2.58
O2 0.0130 0.2456 0.5000  1 Se 2.07
O3 0.2456 0.7456 0.2326  1 Se 2.07
O4 0.2544 0.4870 0.5000  1 Se 2.07
O5 0.4870 0.9870 0.2326  1 Se 2.07
O6 0.5000 0.5000 0.0000  4 La 2.58
O7 0.5130 0.0130 0.7674  1 Se 2.07
O8 0.7456 0.5130 0.5000  1 Se 2.07
O9 0.7544 0.2544 0.7674  1 Se 2.07
O10 0.9870 0.7544 0.5000  1 Se 2.07

---

DFT (GGA-PBE) results for a relaxed KSrLaSeO6 crystal.

formation energy from raw total energies	-2.00	eV/atom
D(E_F)	0.00	states/eV per cell

Lattice parameters (Å, degrees): 5.8957 5.8957 5.8957 60.00 60.00 60.00
With the nearest neighbours (Å) after each atom.
Fractional coordinates of all 10 atoms:
K1 0.0000 0.0000 0.0000  12 O 2.96
Sr1 0.5000 0.5000 0.5000  12 O 2.96
La1 0.2500 0.2500 0.2500  6 O 2.33
Se1 0.7500 0.7500 0.7500  6 O 1.84
O1 0.5298 0.5298 0.9702  1 Se 1.84
O2 0.5298 0.9702 0.5298  1 Se 1.84
O3 0.5298 0.9702 0.9702  1 Se 1.84
O4 0.9702 0.5298 0.5298  1 Se 1.84
O5 0.9702 0.5298 0.9702  1 Se 1.84
O6 0.9702 0.9702 0.5298  1 Se 1.84

---

DFT (GGA-PBE) results for a relaxed KLaSi2O6 crystal.

formation energy from raw total energies	-2.81	eV/atom
D(E_F)	0.00	states/eV per cell

Lattice parameters (Å, degrees): 7.2405 7.2405 7.4760 90.50 90.50 112.26
With the nearest neighbours (Å) after each atom.
Fractional coordinates of all 20 atoms:
K1 0.1104 0.8896 0.7500  2 O 2.64
K2 0.8896 0.1104 0.2500  2 O 2.64
La1 0.3501 0.6499 0.2500  6 O 2.33-2.55
La2 0.6499 0.3501 0.7500  6 O 2.33-2.55
Si1 0.2243 0.4677 0.7475  4 O 1.59-1.74
Si2 0.4677 0.2243 0.2475  4 O 1.59-1.74
Si3 0.5323 0.7757 0.7525  4 O 1.59-1.74
Si4 0.7757 0.5323 0.2525  4 O 1.59-1.74
O1 0.0060 0.5642 0.2533  1 Si 1.59
O2 0.2815 0.2928 0.2460  1 Si 1.60
O3 0.2928 0.2815 0.7460  1 Si 1.60
O4 0.3585 0.6412 0.5908  2 Si 1.74
O5 0.3588 0.6415 0.9092  2 Si 1.74
O6 0.4358 0.9940 0.2467  1 Si 1.59
O7 0.5642 0.0060 0.7533  1 Si 1.59
O8 0.6412 0.3585 0.0908  2 Si 1.74
O9 0.6415 0.3588 0.4092  2 Si 1.74
O10 0.7072 0.7185 0.2540  1 Si 1.60
O11 0.7185 0.7072 0.7540  1 Si 1.60
O12 0.9940 0.4358 0.7467  1 Si 1.59

---

DFT (GGA-PBE) results for a relaxed K3LaSm2O6 crystal.

formation energy from raw total energies	-2.66	eV/atom
D(E_F)	0.00	states/eV per cell

Lattice parameters (Å, degrees): 8.3978 8.3978 7.5636 106.09 106.09 24.98
With the nearest neighbours (Å) after each atom.
Fractional coordinates of all 12 atoms:
K1 0.0000 0.0000 0.0000  6 O 2.84-2.88
K2 0.3320 0.3320 0.6670  6 O 2.81-2.93
K3 0.6680 0.6680 0.3330  6 O 2.81-2.93
La1 0.0000 0.0000 0.5000  6 O 2.44-2.46
Sm1 0.3319 0.3319 0.1634  6 O 2.38-2.40
Sm2 0.6681 0.6681 0.8366  6 O 2.38-2.40
O1 0.1562 0.1562 0.6232  2 Sm 2.40, 1 La 2.46
O2 0.1808 0.1808 0.0503  3 Sm 2.38-2.40
O3 0.4840 0.4840 0.2770  1 Sm 2.40, 2 La 2.44
O4 0.5160 0.5160 0.7230  1 Sm 2.40, 2 La 2.44
O5 0.8192 0.8192 0.9497  3 Sm 2.38-2.40
O6 0.8438 0.8438 0.3768  2 Sm 2.40, 1 La 2.46

---

DFT (GGA-PBE) results for a relaxed KLa2SnO5 crystal.

formation energy from raw total energies	-2.35	eV/atom
D(E_F)	3.66	states/eV per cell

Lattice parameters (Å, degrees): 7.0212 7.0212 6.2878 90.00 90.00 90.00
With the nearest neighbours (Å) after each atom.
Fractional coordinates of all 18 atoms:
K1 0.0000 0.0000 0.0000  10 O 3.14-3.15, 4 Sn 3.51
K2 0.5000 0.5000 0.0000  10 O 3.14-3.15, 4 Sn 3.51
La1 0.1813 0.3187 0.5000  4 O 2.35-2.57
La2 0.3187 0.8187 0.5000  4 O 2.35-2.57
La3 0.6813 0.1813 0.5000  4 O 2.35-2.57
La4 0.8187 0.6813 0.5000  4 O 2.35-2.57
Sn1 0.0000 0.5000 0.0000  4 O 2.12
Sn2 0.5000 0.0000 0.0000  4 O 2.12
O1 0.0000 0.0000 0.5000  4 La 2.57
O2 0.1401 0.6401 0.2552  1 Sn 2.12, 1 La 2.35
O3 0.1401 0.6401 0.7448  1 Sn 2.12, 1 La 2.35
O4 0.3599 0.1401 0.2552  1 Sn 2.12, 1 La 2.35
O5 0.3599 0.1401 0.7448  1 Sn 2.12, 1 La 2.35
O6 0.5000 0.5000 0.5000  4 La 2.57
O7 0.6401 0.8599 0.2552  1 Sn 2.12, 1 La 2.35
O8 0.6401 0.8599 0.7448  1 Sn 2.12, 1 La 2.35
O9 0.8599 0.3599 0.2552  1 Sn 2.12, 1 La 2.35
O10 0.8599 0.3599 0.7448  1 Sn 2.12, 1 La 2.35

---

Number 1: energy -7.1001 eV per atom. Number 2: energy -6.8031 eV per atom. Number 3: energy -5.6433 eV per atom. Number 4: energy -6.4667 eV per atom. Number 5: energy -6.0928 eV per atom. Number 6: energy -7.4704 eV per atom. Number 7: energy -6.6120 eV per atom. Number 8: energy -6.7634 eV per atom.